Computed, not measured: a relaxed structure of Cs3Cd2CuCl9 at the PBE level of DFT.

```
Cs3Cd2CuCl9
1.0
-0.1684 7.2668 -1.2095
-4.9011 -3.0920 4.5515
5.6436 1.2880 6.9522
Cs Cd Cu Cl
3 2 1 9
Direct
0.3333 0.6667 0.6664 Cs
0.0000 0.0000 0.0000 Cs
0.6667 0.3333 0.3336 Cs
0.3333 0.6667 0.1771 Cd
0.6667 0.3333 0.8229 Cd
0.0000 0.0000 0.5000 Cu
0.8399 0.1601 0.6575 Cl
0.8399 0.6798 0.6575 Cl
0.3202 0.1601 0.6575 Cl
0.6798 0.8399 0.3425 Cl
0.1601 0.3202 0.3425 Cl
0.1601 0.8399 0.3425 Cl
0.5000 0.0000 0.0000 Cl
0.0000 0.5000 0.0000 Cl
0.5000 0.5000 0.0000 Cl
```

- Uncorrected formation energy: -1.33 eV/atom
- Electronic total energy: -45.01 eV/cell

***

Computed, not measured: a relaxed structure of CsCdCu2Cl6 at the PBE level of DFT.

```
CsCdCu2Cl6
1.0
-2.7871 -6.4247 -3.2797
-3.6346 -5.4027 7.0926
-9.2999 1.6359 -1.8813
Cs Cd Cu Cl
2 2 4 12
Direct
0.2500 0.8784 0.1216 Cs
0.7500 0.1216 0.8784 Cs
0.2500 0.2756 0.7244 Cd
0.7500 0.7244 0.2756 Cd
0.2956 0.7805 0.6545 Cu
0.2044 0.3455 0.2195 Cu
0.7044 0.2195 0.3455 Cu
0.7956 0.6545 0.7805 Cu
0.2355 0.0099 0.7474 Cl
0.2645 0.2526 0.9901 Cl
0.7645 0.9901 0.2526 Cl
0.7355 0.7474 0.0099 Cl
0.4371 0.7061 0.4180 Cl
0.0629 0.5820 0.2939 Cl
0.5629 0.2939 0.5820 Cl
0.9371 0.4180 0.7061 Cl
0.9949 0.7892 0.6564 Cl
0.5051 0.3436 0.2108 Cl
0.0051 0.2108 0.3436 Cl
0.4949 0.6564 0.7892 Cl
```

- Uncorrected formation energy: -0.95 eV/atom
- Electronic total energy: -61.02 eV/cell

***

Computed, not measured: a relaxed structure of CsCdCuCl6 at the PBE level of DFT.

```
CsCdCuCl6
1.0
6.6202 0.0002 -0.0001
3.3103 5.7330 0.0002
0.0002 -0.0001 7.7450
Cs Cd Cu Cl
1 1 1 6
Direct
0.0000 0.0000 0.0000 Cs
0.6667 0.6667 0.5000 Cd
0.3333 0.3333 0.5000 Cu
0.0309 0.3597 0.3175 Cl
0.3597 0.0309 0.6824 Cl
0.6094 0.3596 0.6824 Cl
0.0309 0.6094 0.6824 Cl
0.3596 0.6094 0.3176 Cl
0.6094 0.0310 0.3176 Cl
```

- Uncorrected formation energy: -0.94 eV/atom
- Electronic total energy: -25.38 eV/cell

***

> Look up the uncorrected formation energy of the third one.

-0.94 eV/atom

***

> electronic total energy of number 1 (Cs3Cd2CuCl9)?

-45.01 eV/cell

***

> Which of these has the lowest electronic total energy?

CsCdCu2Cl6

***

> Look up the uncorrected formation energy of the second one.

-0.95 eV/atom